[1]
Entry from the Alexandria database: an optimized crystal structure of K2PRuO6 (PBE-GGA).

The calculation puts the density of states at the Fermi level at 0.494 states/eV/atom. For the energy relative to the elements, uncorrected, the calculation gives -12.53 eV/f.u. The value obtained for the magnetization is 0.8 μB/f.u.

The space group is Fm-3m (No. 225) and the conventional cell measures 7.533, 7.533 and 7.533 Å, with angles of 90.00, 90.00 and 90.00 degrees. Symmetry generates all atoms from K at (0.250, 0.250, 0.250), P at (0.000, 0.000, 0.000), Ru at (0.000, 0.000, 0.500) and O at (0.000, 0.000, 0.231).

[2]
Entry from the Alexandria database: an optimized crystal structure of SmDyErTm3 (PBE-GGA).

The calculation puts the density of states at the Fermi level at 1.330 states/eV/atom. The value obtained for the magnetization is 0.0 μB/f.u. The calculation puts the formation energy at 0.1 eV per formula unit.

The space group is Cmcm (No. 63) and the conventional cell measures 4.980, 14.947 and 9.963 Å, with angles of 90.00, 90.00 and 90.00 degrees. Symmetry generates all atoms from Sm at (0.000, 0.000, 0.250), Dy at (0.000, 0.500, 0.000), Er at (0.000, 0.332, 0.250), Tm at (0.000, 0.168, 0.000) and Tm at (0.000, 0.332, 0.750).

[3]
Entry from the Alexandria database: an optimized crystal structure of Sm2B2Rh3 (PBE-GGA).

The calculation puts the density of states at the Fermi level at 0.557 states/eV/atom. The value obtained for the magnetization is 0.0 μB/f.u. The calculation puts the formation energy at -3.4 eV per formula unit.

The space group is C2/m (No. 12) and the conventional cell measures 9.993, 3.541 and 6.873 Å, with angles of 90.00, 113.25 and 90.00 degrees. Symmetry generates all atoms from Sm at (0.131, 0.000, 0.280), B at (0.152, 0.000, 0.767), Rh at (0.000, 0.500, 0.500) and Rh at (0.135, 0.500, 0.934).

[4]
Entry from the Alexandria database: an optimized crystal structure of La2Ru (PBE-GGA).

The calculation puts the density of states at the Fermi level at 1.708 states/eV/atom. The value obtained for the magnetization is 0.0 μB/f.u. The calculation puts the formation energy at 3.0 eV per formula unit.

The space group is Fd-3m (No. 227, origin choice 2) and the conventional cell measures 8.560, 8.560 and 8.560 Å, with angles of 90.00, 90.00 and 90.00 degrees. Symmetry generates all atoms from La at (0.000, 0.000, 0.000) and Ru at (0.125, 0.125, 0.625).